Computed, not measured: LiCuCO3 after structural relaxation at the GGA-PBEsol level of DFT.

Cell: 5.5794 6.4415 9.0298 Å, 90.00 122.19 90.00°
Positions (direct):
1 Li 0.1472 0.2390 0.2035
2 Li 0.1472 0.2610 0.7035
3 Li 0.8528 0.7390 0.2965
4 Li 0.8528 0.7610 0.7965
5 Cu 0.2829 0.0242 0.4959
6 Cu 0.2829 0.4758 0.9959
7 Cu 0.7171 0.5242 0.0041
8 Cu 0.7171 0.9758 0.5041
9 C 0.2392 0.6683 0.6967
10 C 0.2392 0.8317 0.1967
11 C 0.7608 0.1683 0.8033
12 C 0.7608 0.3317 0.3033
13 O 0.0956 0.7326 0.0520
14 O 0.0956 0.7674 0.5520
15 O 0.1005 0.5654 0.7546
16 O 0.1005 0.9346 0.2546
17 O 0.4881 0.1691 0.7145
18 O 0.4881 0.3309 0.2145
19 O 0.5119 0.6691 0.7855
20 O 0.5119 0.8309 0.2855
21 O 0.8995 0.0654 0.7454
22 O 0.8995 0.4346 0.2454
23 O 0.9044 0.2326 0.4480
24 O 0.9044 0.2674 0.9480

Values from the calculation:
Volume, Å³/f.u.: 68.66
VASP energy, eV per atom: -6.5805
Energy above the most stable polymorph in this dataset, meV/atom: 57
ρ, Mg/m³: 3.156
Space-group type: P2_1/c